## EuSc2Ag (PBE-GGA)

Data for a geometry-optimized EuSc2Ag structure.

Cell lengths 3.481, 3.481, 8.520 Å; angles 90.00, 90.00, 90.00 degrees
Atoms (fractional coordinates):
Eu 0.000 0.000 0.000
Sc 0.500 0.500 0.305
Sc 0.500 0.500 0.695
Ag 0.000 0.000 0.500

## Properties
ρ ... 5.624 g/cm3
N(E_F) ... 5.1 states/eV per cell
DFT formation energy ... -0.0087 eV per atom
Spin magnetization ... 8.8 μB/cell